P:
GGA-PBE NbCrMo3, optimized geometry; space-group type = No. 221; V = 103.0 Å³ per cell
1.0
4.687 0.000 0.000
0.000 4.687 0.000
0.000 0.000 4.687
Cr Mo Nb
1 3 1
Cartesian
2.343 2.343 2.343
0.000 0.000 2.343
2.343 0.000 0.000
0.000 2.343 0.000
0.000 0.000 0.000

Q:
GGA-PBE NbCrMo3, optimized geometry; space-group type = No. 221; V = 89.2 Å³ per cell
1.0
4.468 0.000 0.000
0.000 4.468 0.000
0.000 0.000 4.468
Mo Cr Nb
3 1 1
Cartesian
2.234 0.000 0.000
0.000 0.000 2.234
0.000 2.234 0.000
0.000 0.000 0.000
2.234 2.234 2.234

Most stable to least stable, the ends of the list are Q and P.

P:
GGA-PBE CrNi2Mo, optimized geometry; space-group type = No. 166; V = 50.0 Å³ per cell
1.0
8.700 0.006 0.004
8.312 2.572 0.004
8.312 1.260 2.242
Cr Ni Mo
1 2 1
Cartesian
6.331 0.959 0.562
12.759 1.933 1.133
25.227 3.823 2.241
18.993 2.878 1.687

Q:
GGA-PBE CrNi2Mo, optimized geometry; space-group type = No. 123; V = 49.3 Å³ per cell
1.0
3.601 0.000 0.000
0.000 3.597 0.000
0.000 0.000 3.802
Ni Mo Cr
2 1 1
Cartesian
0.000 0.000 0.000
1.801 1.799 0.000
0.000 1.799 1.901
1.801 0.000 1.901

Most stable to least stable, the ends of the list are Q and P.

P:
GGA-PBE CrNiMo3, optimized geometry; space-group type = No. 221; V = 86.7 Å³ per cell
1.0
4.426 0.000 0.000
0.000 4.426 0.000
0.000 0.000 4.426
Mo Cr Ni
3 1 1
Cartesian
0.000 0.000 2.213
0.000 2.213 0.000
2.213 0.000 0.000
2.213 2.213 2.213
0.000 0.000 0.000

Q:
GGA-PBE CrNiMo3, optimized geometry; space-group type = No. 221; V = 86.4 Å³ per cell
1.0
4.420 0.000 0.000
0.000 4.420 0.000
0.000 0.000 4.420
Mo Cr Ni
3 1 1
Cartesian
0.000 2.210 0.000
2.210 0.000 0.000
0.000 0.000 2.210
0.000 0.000 0.000
2.210 2.210 2.210

Most stable to least stable, the ends of the list are Q and P.